Record 1
Below is a relaxed CaPrInNi crystal, with properties calculated at the PBE level.

Results
SG   No. 216
Magnetization   0.000 μB per atom
Formation energy   -203 meV/atom

Geometry as POSCAR:
```
CaPrInNi
1.0
-3.612 2.968 2.368
-4.308 1.460 -2.602
-4.652 -2.050 1.274
Pr Ca Ni In
1 1 1 1
direct
0.000 0.000 0.000 Pr
0.500 0.500 0.500 Ca
0.250 0.250 0.250 Ni
0.750 0.750 0.750 In
```



Record 2
Below is a relaxed Li2HgAu crystal, with properties calculated at the PBE level.

Results
SG   No. 166
Magnetization   0.000 μB per atom
Formation energy   -309 meV/atom

Geometry as POSCAR:
```
Li2HgAu
1.0
-6.774 -3.602 4.513
-6.004 -6.000 2.680
-4.475 -5.528 5.352
Hg Au Li
1 1 2
direct
0.750 0.750 0.750 Hg
0.250 0.250 0.250 Au
0.507 0.507 0.507 Li
0.993 0.993 0.993 Li
```



Record 3
Below is a relaxed Sc2SiO5 crystal, with properties calculated at the PBE level.

Results
Uncorrected formation energy   -3.124 eV per atom
SG   No. 63
Magnetization   0.000 μB per atom

Geometry as POSCAR:
```
Sc2SiO5
1.0
3.816 0.000 0.000
-1.908 5.064 0.000
0.000 0.000 9.662
Sc O Si
4 10 2
direct
0.140 0.279 0.572 Sc
0.860 0.721 0.072 Sc
0.860 0.721 0.428 Sc
0.140 0.279 0.928 Sc
0.294 0.588 0.394 O
0.947 0.893 0.877 O
0.947 0.893 0.623 O
0.716 0.431 0.250 O
0.284 0.569 0.750 O
0.053 0.107 0.377 O
0.706 0.412 0.894 O
0.706 0.412 0.606 O
0.294 0.588 0.106 O
0.053 0.107 0.123 O
0.826 0.652 0.750 Si
0.174 0.348 0.250 Si
```



Record 4
Below is a relaxed Be3Nb2B2 crystal, with properties calculated at the PBE level.

Results
SG   No. 12
Magnetization   0.000 μB per atom
Formation energy   -420 meV/atom

Geometry as POSCAR:
```
Be3Nb2B2
1.0
-0.290 0.879 3.142
2.549 -3.724 -0.430
3.660 3.781 -0.720
Nb Be B
2 3 2
direct
0.374 0.748 0.655 Nb
0.626 0.252 0.345 Nb
0.318 0.636 0.145 Be
0.000 0.000 0.000 Be
0.682 0.364 0.855 Be
0.078 0.157 0.648 B
0.922 0.843 0.352 B
```